The following is a DFT calculation (PBE-GGA) of In2Sn2Bi after structural relaxation.

a = 3.4756 Å, b = 3.4756 Å, c = 13.6852 Å
α = 90.00°, β = 90.00°, γ = 120.00°
With the nearest neighbours (Å) after each atom.
Space group P-3m1 (No. 164)
Unique sites:
In1 0.3333 0.6667 0.2930  3 Sn 3.37, 3 Bi 3.47, 6 In 3.48
Sn1 0.3333 0.6667 0.9053  9 Sn 3.28-3.48, 3 In 3.37
Bi1 0.0000 0.0000 0.5000  6 In 3.47, 6 Bi 3.48

## Properties
E_form: 0.06 eV per atom
DOS at the Fermi energy: 3.3 states/eV/f.u.